No. 1
First-principles (meta-GGA SCAN) data for CeB2Ir3 at its PBEsol-relaxed geometry, as listed in Alexandria.

Cell: 3.1114 5.4573 5.4573 Å, 120.00 90.00 90.00°
Each line ends with the local moment (μB).
Fractional positions:
Ce (0.0000, 0.0000, 0.0000)  0.71
Ir (0.5000, 0.0000, 0.5000)  -0.04
Ir (0.5000, 0.5000, 0.0000)  -0.04
Ir (0.5000, 0.5000, 0.5000)  -0.04
B (0.0000, 0.6667, 0.3333)  -0.01
B (0.0000, 0.3333, 0.6667)  -0.01

Results
For the formation energy, the calculation gives -801 meV/atom. As for the calculated total energy: -46.25 eV/atom. As for the space group: P6/mmm, No. 191.


No. 2
First-principles (meta-GGA SCAN) data for CeB2Ir2 at its PBEsol-relaxed geometry, as listed in Alexandria.

Cell: 5.5118 5.5118 6.0852 Å, 105.24 105.24 114.82°
Each line ends with the local moment (μB).
Fractional positions:
Ce (0.5000, 0.5000, 0.0000)  0.87
Ce (0.7500, 0.2500, 0.5000)  0.87
B (0.0692, 0.9308, 0.5000)  0.00
B (0.1808, 0.8192, 0.0000)  0.00
B (0.8192, 0.1808, 0.0000)  0.00
B (0.4308, 0.5692, 0.5000)  0.00
Ir (0.3786, 0.8786, 0.7572)  0.02
Ir (0.1286, 0.1286, 0.2572)  0.02
Ir (0.8714, 0.8714, 0.7428)  0.02
Ir (0.1214, 0.6214, 0.2428)  0.02

Results
For the formation energy, the calculation gives -866 meV/atom. As for the calculated total energy: -41.19 eV/atom. As for the space group: Fddd, No. 70.


No. 3
First-principles (meta-GGA SCAN) data for CeSiBIr3 at its PBEsol-relaxed geometry, as listed in Alexandria.

Cell: 3.4396 5.4892 5.4892 Å, 120.00 90.00 90.00°
Each line ends with the local moment (μB).
Fractional positions:
Ir (0.5000, 0.8399, 0.1601)  -0.03
Ir (0.5000, 0.8399, 0.6797)  -0.03
Ir (0.5000, 0.3203, 0.1601)  -0.03
Si (0.0000, 0.6667, 0.3333)  0.00
Ce (0.0000, 0.3333, 0.6667)  0.64
B (0.0000, 0.0000, 0.0000)  -0.01

Results
As for the formation energy without anion corrections: -0.860 eV/atom. As for the calculated total energy: -46.74 eV/atom. As for the space group: P-6m2, No. 187.


No. 4
First-principles (meta-GGA SCAN) data for CeBN2 at its PBEsol-relaxed geometry, as listed in Alexandria.

Cell: 6.3046 6.6484 7.6048 Å, 106.55 90.14 114.98°
Each line ends with the local moment (μB).
Fractional positions:
B (0.7189, 0.5634, 0.7676)  0.02
B (0.9017, 0.2165, 0.0132)  0.01
B (0.0985, 0.7944, 0.6665)  0.01
B (0.0983, 0.7835, 0.9868)  0.01
B (0.9015, 0.2056, 0.3335)  0.01
B (0.2811, 0.4366, 0.2324)  0.02
N (0.7677, 0.2044, 0.1723)  -0.01
N (0.8439, 0.6249, 0.9548)  -0.01
N (0.1538, 0.3749, 0.3879)  -0.01
N (0.5373, 0.5195, 0.2525)  -0.03
N (0.1561, 0.3751, 0.0452)  -0.01
N (0.8462, 0.6251, 0.6121)  -0.01
N (0.2323, 0.7956, 0.8277)  -0.01
N (0.4627, 0.4805, 0.7475)  -0.03
N (0.7645, 0.0485, 0.4312)  -0.03
N (0.2369, 0.9253, 0.1648)  -0.03
N (0.2355, 0.9515, 0.5688)  -0.03
N (0.7631, 0.0747, 0.8352)  -0.03
Ce (0.9564, 0.6518, 0.2940)  0.81
Ce (0.5385, 0.7801, 0.0645)  0.86
Ce (0.4615, 0.2199, 0.9355)  0.86
Ce (0.5309, 0.7790, 0.5757)  0.74
Ce (0.4691, 0.2210, 0.4243)  0.74
Ce (0.0436, 0.3482, 0.7060)  0.81

Results
As for the formation energy without anion corrections: -1.550 eV/atom. As for the calculated total energy: -19.19 eV/atom. As for the space group: P-1, No. 2.


No. 5
First-principles (meta-GGA SCAN) data for Ce2NiB10 at its PBEsol-relaxed geometry, as listed in Alexandria.

Cell: 4.1361 5.5546 11.0530 Å, 90.00 90.00 90.00°
Fractional positions:
B (0.0000, 0.4714, 0.6868)
B (0.0000, 0.9714, 0.8132)
B (0.3011, 0.6982, 0.3867)
B (0.0000, 0.3733, 0.0401)
B (0.6989, 0.6982, 0.3867)
B (0.0000, 0.3414, 0.1978)
B (0.0000, 0.1586, 0.6978)
B (0.6989, 0.3018, 0.6133)
B (0.0000, 0.8733, 0.4599)
B (0.0000, 0.5286, 0.3132)
B (0.0000, 0.6586, 0.8022)
B (0.6989, 0.1982, 0.1133)
B (0.0000, 0.1267, 0.5401)
B (0.3011, 0.1982, 0.1133)
B (0.6989, 0.8018, 0.8867)
B (0.0000, 0.0286, 0.1868)
B (0.3011, 0.3018, 0.6133)
B (0.3011, 0.8018, 0.8867)
B (0.0000, 0.6267, 0.9599)
B (0.0000, 0.8414, 0.3022)
Ce (0.5000, 0.8147, 0.6383)
Ce (0.5000, 0.6853, 0.1383)
Ce (0.5000, 0.1853, 0.3617)
Ce (0.5000, 0.3147, 0.8617)
Ni (0.0000, 0.0000, 0.0000)
Ni (0.0000, 0.5000, 0.5000)

Results
For the formation energy, the calculation gives -620 meV/atom. As for the calculated total energy: -14.44 eV/atom. As for the space group: Pbam, No. 55.


No. 6
First-principles (meta-GGA SCAN) data for CeNiB4 at its PBEsol-relaxed geometry, as listed in Alexandria.

Cell: 6.8820 6.8820 6.8820 Å, 102.94 112.83 112.83°
Each line ends with the local moment (μB).
Fractional positions:
Ce (0.0000, 0.7994, 0.7994)  0.05
Ce (0.0000, 0.2006, 0.2006)  0.05
Ce (0.5000, 0.7500, 0.2500)  0.08
Ce (0.5000, 0.2500, 0.7500)  0.08
B (0.4685, 0.8869, 0.8869)  0.00
B (0.0000, 0.5816, 0.1131)  0.00
B (0.0000, 0.1131, 0.5816)  0.00
B (0.3858, 0.2744, 0.1114)  0.00
B (0.5315, 0.1131, 0.1131)  0.00
B (0.8369, 0.1114, 0.7256)  0.00
B (0.1631, 0.8886, 0.2744)  0.00
B (0.3858, 0.1114, 0.2744)  0.00
B (0.6142, 0.7256, 0.8886)  0.00
B (0.1631, 0.2744, 0.8886)  0.00
B (0.4685, 0.5816, 0.5816)  0.00
B (0.8369, 0.7256, 0.1114)  0.00
B (0.5315, 0.4184, 0.4184)  0.00
B (0.0000, 0.4184, 0.8869)  0.00
B (0.0000, 0.8869, 0.4184)  0.00
B (0.6142, 0.8886, 0.7256)  0.00
Ni (0.2283, 0.7283, 0.5000)  0.07
Ni (0.2283, 0.5000, 0.7283)  0.07
Ni (0.7717, 0.5000, 0.2717)  0.07
Ni (0.7717, 0.2717, 0.5000)  0.07

Results
For the formation energy, the calculation gives -619 meV/atom. As for the calculated total energy: -15.69 eV/atom. As for the space group: I4/mmm, No. 139.


No. 7
First-principles (meta-GGA SCAN) data for Ce2Ni5B4 at its PBEsol-relaxed geometry, as listed in Alexandria.

Cell: 5.0396 5.4098 6.0619 Å, 68.17 65.44 62.24°
Each line ends with the local moment (μB).
Fractional positions:
B (0.4048, 0.0435, 0.1469)  0.00
B (0.2226, 0.3839, 0.1710)  -0.01
B (0.7774, 0.6161, 0.8290)  -0.01
B (0.5952, 0.9565, 0.8531)  0.00
Ni (0.8255, 0.7150, 0.1256)  -0.04
Ni (0.1745, 0.2850, 0.8744)  -0.04
Ni (0.6660, 0.2850, 0.8744)  -0.04
Ni (0.3340, 0.7150, 0.1256)  -0.04
Ni (0.0000, 0.5000, 0.5000)  -0.05
Ce (0.7354, 0.1804, 0.3488)  0.24
Ce (0.2646, 0.8196, 0.6512)  0.24

Results
For the formation energy, the calculation gives -491 meV/atom. As for the calculated total energy: -18.65 eV/atom. As for the space group: C2/m, No. 12.


No. 8
First-principles (meta-GGA SCAN) data for CeNi12B6 at its PBEsol-relaxed geometry, as listed in Alexandria.

Cell: 5.9723 5.9723 10.8622 Å, 90.00 90.00 104.86°
Each line ends with the local moment (μB).
Fractional positions:
B (0.4007, 0.9868, 0.3773)  0.00
B (0.2432, 0.6756, 0.6147)  0.00
B (0.5140, 0.5140, 0.8449)  0.00
B (0.0132, 0.5993, 0.8773)  0.00
B (0.1638, 0.1638, 0.6628)  0.00
B (0.7568, 0.3244, 0.1147)  0.00
B (0.6756, 0.2432, 0.6147)  0.00
B (0.5993, 0.0132, 0.8773)  0.00
B (0.3244, 0.7568, 0.1147)  0.00
B (0.8362, 0.8362, 0.1628)  0.00
B (0.9868, 0.4007, 0.3773)  0.00
B (0.4860, 0.4860, 0.3449)  0.00
Ce (0.8314, 0.8314, 0.5032)  0.58
Ce (0.1686, 0.1686, 0.0032)  0.58
Ni (0.8560, 0.1222, 0.7463)  -0.01
Ni (0.2697, 0.6578, 0.4320)  -0.01
Ni (0.8025, 0.5413, 0.2653)  0.00
Ni (0.1440, 0.8778, 0.2463)  -0.01
Ni (0.9948, 0.6299, 0.0628)  0.00
Ni (0.7831, 0.7831, 0.9026)  0.00
Ni (0.7303, 0.3422, 0.9320)  -0.01
Ni (0.3422, 0.7303, 0.9320)  -0.01
Ni (0.6299, 0.9948, 0.0628)  0.00
Ni (0.5627, 0.5627, 0.0804)  -0.03
Ni (0.1222, 0.8560, 0.7463)  -0.01
Ni (0.4587, 0.1975, 0.7653)  0.00
Ni (0.5296, 0.7901, 0.7231)  -0.02
Ni (0.2099, 0.4704, 0.2231)  -0.02
Ni (0.2169, 0.2169, 0.4026)  0.00
Ni (0.4373, 0.4373, 0.5804)  -0.03
Ni (0.6578, 0.2697, 0.4320)  -0.01
Ni (0.7901, 0.5296, 0.7231)  -0.02
Ni (0.8778, 0.1440, 0.2463)  -0.01
Ni (0.5413, 0.8025, 0.2653)  0.00
Ni (0.4704, 0.2099, 0.2231)  -0.02
Ni (0.1975, 0.4587, 0.7653)  0.00
Ni (0.0052, 0.3701, 0.5628)  0.00
Ni (0.3701, 0.0052, 0.5628)  0.00

Results
For the formation energy, the calculation gives -404 meV/atom. As for the calculated total energy: -15.31 eV/atom. As for the space group: Cmc2_1, No. 36.


No. 9
First-principles (meta-GGA SCAN) data for CeNi4B at its PBEsol-relaxed geometry, as listed in Alexandria.

Cell: 4.9142 4.9142 6.9440 Å, 90.00 90.00 120.00°
Fractional positions:
Ni (0.6667, 0.3333, 0.0000)
Ni (0.5000, 0.0000, 0.2900)
Ni (0.0000, 0.5000, 0.7100)
Ni (0.5000, 0.5000, 0.2900)
Ni (0.0000, 0.5000, 0.2900)
Ni (0.5000, 0.5000, 0.7100)
Ni (0.3333, 0.6667, 0.0000)
Ni (0.5000, 0.0000, 0.7100)
B (0.3333, 0.6667, 0.5000)
B (0.6667, 0.3333, 0.5000)
Ce (0.0000, 0.0000, 0.0000)
Ce (0.0000, 0.0000, 0.5000)

Results
For the formation energy, the calculation gives -431 meV/atom. As for the calculated total energy: -19.88 eV/atom. As for the space group: P6/mmm, No. 191.


No. 10
First-principles (meta-GGA SCAN) data for Ce2B8O15 at its PBEsol-relaxed geometry, as listed in Alexandria.

Cell: 4.1990 9.1324 11.6690 Å, 107.40 90.00 90.00°
Each line ends with the local moment (μB).
Fractional positions:
O (0.7421, 0.0507, 0.0778)  -0.01
O (0.6301, 0.8534, 0.4118)  0.00
O (0.6301, 0.6466, 0.0882)  0.00
O (0.7742, 0.3366, 0.6209)  0.00
O (0.8137, 0.1220, 0.4590)  0.00
O (0.6454, 0.2500, 0.2500)  -0.01
O (0.8765, 0.0898, 0.6615)  0.00
O (0.3699, 0.1466, 0.5882)  0.00
O (0.1863, 0.8780, 0.5410)  0.00
O (0.1235, 0.9102, 0.3385)  0.00
O (0.8777, 0.5964, 0.7364)  -0.01
O (0.1223, 0.0964, 0.2364)  -0.01
O (0.8777, 0.9036, 0.7636)  -0.01
O (0.6205, 0.5133, 0.2366)  0.00
O (0.2579, 0.9493, 0.9222)  -0.01
O (0.1223, 0.4036, 0.2636)  -0.01
O (0.7742, 0.1634, 0.8791)  0.00
O (0.3699, 0.3534, 0.9118)  0.00
O (0.3795, 0.4867, 0.7634)  0.00
O (0.1235, 0.5898, 0.1615)  0.00
O (0.3795, 0.0133, 0.7366)  0.00
O (0.3546, 0.7500, 0.7500)  -0.01
O (0.2258, 0.6634, 0.3791)  0.00
O (0.7421, 0.4493, 0.4222)  -0.01
O (0.8137, 0.3780, 0.0410)  0.00
O (0.2258, 0.8366, 0.1209)  0.00
O (0.1863, 0.6220, 0.9590)  0.00
O (0.2579, 0.5507, 0.5778)  -0.01
O (0.8765, 0.4102, 0.8385)  0.00
O (0.6205, 0.9867, 0.2634)  0.00
B (0.7846, 0.4025, 0.2953)  0.00
B (0.2916, 0.6730, 0.0851)  0.00
B (0.2154, 0.9025, 0.7953)  0.00
B (0.2708, 0.5489, 0.2656)  0.00
B (0.2708, 0.9511, 0.2344)  0.00
B (0.7084, 0.1730, 0.5851)  0.00
B (0.7292, 0.4511, 0.7344)  0.00
B (0.2154, 0.5975, 0.7047)  0.00
B (0.7855, 0.9680, 0.3736)  0.00
B (0.2916, 0.8270, 0.4149)  0.00
B (0.2145, 0.4680, 0.8736)  0.00
B (0.7084, 0.3270, 0.9149)  0.00
B (0.2145, 0.0320, 0.6264)  0.00
B (0.7292, 0.0489, 0.7656)  0.00
B (0.7846, 0.0975, 0.2047)  0.00
B (0.7855, 0.5320, 0.1264)  0.00
Ce (0.2634, 0.1933, 0.0524)  0.94
Ce (0.2634, 0.3067, 0.4476)  0.94
Ce (0.7366, 0.8067, 0.9476)  0.94
Ce (0.7366, 0.6933, 0.5524)  0.94

Results
As for the formation energy without anion corrections: -2.912 eV/atom. As for the calculated total energy: -12.59 eV/atom. As for the space group: P2/c, No. 13.


No. 11
First-principles (meta-GGA SCAN) data for CeB2Os2 at its PBEsol-relaxed geometry, as listed in Alexandria.

Cell: 5.5417 5.5417 5.9644 Å, 109.25 109.25 106.89°
Each line ends with the local moment (μB).
Fractional positions:
Ce (0.2500, 0.7500, 0.5000)  -0.28
Ce (0.0000, 0.0000, 0.0000)  -0.28
B (0.6866, 0.3134, 0.0000)  0.00
B (0.3134, 0.6866, 0.0000)  0.00
B (0.5634, 0.4366, 0.5000)  0.00
B (0.9366, 0.0634, 0.5000)  0.00
Os (0.6121, 0.1121, 0.2242)  0.04
Os (0.8879, 0.3879, 0.7758)  0.04
Os (0.6379, 0.6379, 0.2758)  0.04
Os (0.3621, 0.3621, 0.7242)  0.04

Results
For the formation energy, the calculation gives -545 meV/atom. As for the calculated total energy: -41.18 eV/atom. As for the space group: Fddd, No. 70.


No. 12
First-principles (meta-GGA SCAN) data for CeBPt3 at its PBEsol-relaxed geometry, as listed in Alexandria.

Cell: 4.3312 4.3312 4.3312 Å, 90.00 90.00 90.00°
Each line ends with the local moment (μB).
Fractional positions:
B (0.5000, 0.5000, 0.5000)  -0.01
Ce (0.0000, 0.0000, 0.0000)  0.69
Pt (0.5000, 0.0000, 0.5000)  -0.05
Pt (0.0000, 0.5000, 0.5000)  -0.05
Pt (0.5000, 0.5000, 0.0000)  -0.05

Results
For the formation energy, the calculation gives -734 meV/atom. As for the calculated total energy: -53.25 eV/atom. As for the space group: Pm-3m, No. 221.